Entry from Alexandria via LeMat-Bulk: crystalline CaPrNiHg at its relaxed geometry (PBE).

Cell: 5.186 5.186 5.186 Å, 60.00 60.00 60.00°
Positions (direct):
Ca  0.500  0.500  0.500
Hg  0.750  0.750  0.750
Pr  0.000  0.000  0.000
Ni  0.250  0.250  0.250

---

Entry from Alexandria via LeMat-Bulk: crystalline Ca2ReNiHg at its relaxed geometry (PBE).

Cell: 5.629 4.705 5.629 Å, 90.00 90.00 90.00°
Each line ends with the local moment (μB).
Positions (direct):
Re  0.500  0.500  0.500  3.13
Ca  0.500  0.000  0.000  -0.04
Ca  0.000  0.000  0.500  -0.03
Hg  0.000  0.000  0.000  -0.05
Ni  0.000  0.500  0.000  0.18

---

Entry from Alexandria via LeMat-Bulk: crystalline CaNiSnHg2 at its relaxed geometry (PBE).

Cell: 5.050 5.050 4.905 Å, 90.00 90.00 90.00°
Positions (direct):
Ca  0.500  0.500  0.500
Hg  0.500  0.000  0.000
Ni  0.000  0.000  0.000
Sn  0.000  0.000  0.500
Hg  0.000  0.500  0.000

---

Formation enthalpy at 0 K: -0.267, 1.272, -0.181 (eV per atom)
V: 98.61, 149.08, 125.07 (Å³/f.u.)
M_tot: 0.00, 3.61, 0.00 (μB per formula unit)